Below is YTeRu2 at its PBEsol-relaxed geometry, with properties calculated at the SCAN level.

Results
- ΔE_f (raw): 0.19 eV per atom
- Space group: No. 216

Unit cell a=4.704 b=4.704 c=4.704 alpha=60.00 beta=60.00 gamma=60.00
Positions (direct):
Y 0.000 0.000 0.000
Te 0.250 0.250 0.250
Ru 0.500 0.500 0.500
Ru 0.750 0.750 0.750

Below is Hg2PtRh at its PBEsol-relaxed geometry, with properties calculated at the SCAN level.

Results
- Energy of formation: 0.19 eV per atom
- Space group: No. 99

Unit cell a=2.917 b=2.917 c=8.141 alpha=90.00 beta=90.00 gamma=90.00
Positions (direct):
Hg 0.000 0.000 0.000
Hg 0.500 0.500 0.302
Pt 0.000 0.000 0.550
Rh 0.500 0.500 0.762

Below is La2IrAu at its PBEsol-relaxed geometry, with properties calculated at the SCAN level.

Results
- Energy of formation: -0.88 eV per atom
- Space group: No. 10

Unit cell a=3.602 b=3.602 c=7.334 alpha=90.00 beta=90.07 gamma=90.00
Positions (direct):
La 0.001 0.000 0.269
La 0.999 0.000 0.731
Ir 0.500 0.500 0.500
Au 0.500 0.500 0.000

Below is AlTcAs2Br at its PBEsol-relaxed geometry, with properties calculated at the SCAN level.

Results
- ΔE_f (raw): 0.45 eV per atom
- Space group: No. 123

Unit cell a=4.681 b=4.681 c=5.393 alpha=90.00 beta=90.00 gamma=90.00
Positions (direct):
Al 0.000 0.000 0.000
Tc 0.500 0.500 0.500
As 0.000 0.500 0.500
As 0.500 0.000 0.500
Br 0.500 0.500 0.000

Below is Ca6Cd32Cu at its PBEsol-relaxed geometry, with properties calculated at the SCAN level.

Results
- Energy of formation: -0.26 eV per atom
- Space group: No. 200

Unit cell a=9.481 b=9.481 c=9.481 alpha=90.00 beta=90.00 gamma=90.00
Positions (direct):
Ca 0.000 0.296 0.500
Ca 0.000 0.704 0.500
Ca 0.296 0.500 0.000
Ca 0.500 0.000 0.296
Ca 0.500 0.000 0.704
Ca 0.704 0.500 0.000
Cd 0.000 0.000 0.239
Cd 0.000 0.000 0.761
Cd 0.000 0.239 0.000
Cd 0.000 0.500 0.174
Cd 0.000 0.500 0.826
Cd 0.000 0.761 0.000
Cd 0.174 0.000 0.500
Cd 0.219 0.219 0.219
Cd 0.219 0.219 0.781
Cd 0.219 0.781 0.219
Cd 0.219 0.781 0.781
Cd 0.239 0.000 0.000
Cd 0.241 0.500 0.349
Cd 0.241 0.500 0.651
Cd 0.349 0.241 0.500
Cd 0.349 0.759 0.500
Cd 0.500 0.174 0.000
Cd 0.500 0.349 0.241
Cd 0.500 0.349 0.759
Cd 0.500 0.651 0.241
Cd 0.500 0.651 0.759
Cd 0.500 0.826 0.000
Cd 0.651 0.241 0.500
Cd 0.651 0.759 0.500
Cd 0.759 0.500 0.349
Cd 0.759 0.500 0.651
Cd 0.761 0.000 0.000
Cd 0.781 0.219 0.219
Cd 0.781 0.219 0.781
Cd 0.781 0.781 0.219
Cd 0.781 0.781 0.781
Cd 0.826 0.000 0.500
Cu 0.500 0.500 0.500

Below is LaCu2Ir at its PBEsol-relaxed geometry, with properties calculated at the SCAN level.

Results
- Energy of formation: -0.28 eV per atom
- Space group: No. 12

Unit cell a=4.560 b=4.560 c=4.769 alpha=108.04 beta=108.04 gamma=50.94
Positions (direct):
La 0.000 0.000 0.000
Cu 0.216 0.216 0.616
Cu 0.784 0.784 0.384
Ir 0.500 0.500 0.500

Below is Hf3TiN at its PBEsol-relaxed geometry, with properties calculated at the SCAN level.

Results
- ΔE_f (raw): -0.81 eV per atom
- Space group: No. 221

Unit cell a=4.395 b=4.395 c=4.395 alpha=90.00 beta=90.00 gamma=90.00
Positions (direct):
Hf 0.000 0.000 0.500
Hf 0.000 0.500 0.000
Hf 0.500 0.000 0.000
Ti 0.500 0.500 0.500
N 0.000 0.000 0.000

Below is TiP2AuCl at its PBEsol-relaxed geometry, with properties calculated at the SCAN level.

Results
- ΔE_f (raw): 0.68 eV per atom
- Space group: No. 123

Unit cell a=4.710 b=4.710 c=4.862 alpha=90.00 beta=90.00 gamma=90.00
Positions (direct):
Ti 0.000 0.000 0.000
P 0.000 0.500 0.500
P 0.500 0.000 0.500
Au 0.500 0.500 0.500
Cl 0.500 0.500 0.000

Below is CsBi4Te6 at its PBEsol-relaxed geometry, with properties calculated at the SCAN level.

Results
- ΔE_f (raw): -0.35 eV per atom
- Space group: No. 12

Unit cell a=25.866 b=25.866 c=14.366 alpha=101.32 beta=101.32 gamma=9.71
Positions (direct):
Cs 0.054 0.054 0.011
Cs 0.313 0.313 0.985
Cs 0.687 0.687 0.015
Cs 0.946 0.946 0.989
Bi 0.015 0.015 0.293
Bi 0.040 0.040 0.635
Bi 0.136 0.136 0.251
Bi 0.163 0.163 0.591
Bi 0.264 0.264 0.241
Bi 0.287 0.287 0.587
Bi 0.385 0.385 0.222
Bi 0.410 0.410 0.561
Bi 0.590 0.590 0.439
Bi 0.615 0.615 0.778
Bi 0.713 0.713 0.413
Bi 0.736 0.736 0.759
Bi 0.837 0.837 0.409
Bi 0.864 0.864 0.749
Bi 0.960 0.960 0.365
Bi 0.985 0.985 0.707
Te 0.080 0.080 0.287
Te 0.105 0.105 0.603
Te 0.124 0.124 0.923
Te 0.202 0.202 0.258
Te 0.225 0.225 0.578
Te 0.240 0.240 0.903
Te 0.324 0.324 0.258
Te 0.347 0.347 0.573
Te 0.378 0.378 0.892
Te 0.443 0.443 0.219
Te 0.467 0.467 0.537
Te 0.493 0.493 0.855
Te 0.507 0.507 0.145
Te 0.533 0.533 0.463
Te 0.557 0.557 0.781
Te 0.622 0.622 0.108
Te 0.653 0.653 0.427
Te 0.676 0.676 0.742
Te 0.760 0.760 0.097
Te 0.775 0.775 0.422
Te 0.798 0.798 0.742
Te 0.876 0.876 0.077
Te 0.895 0.895 0.397
Te 0.920 0.920 0.713

Below is YHf2AlTl at its PBEsol-relaxed geometry, with properties calculated at the SCAN level.

Results
- Energy of formation: 0.56 eV per atom
- Space group: No. 123

Unit cell a=5.036 b=5.036 c=5.024 alpha=90.00 beta=90.00 gamma=90.00
Positions (direct):
Y 0.000 0.000 0.000
Hf 0.000 0.500 0.500
Hf 0.500 0.000 0.500
Al 0.500 0.500 0.500
Tl 0.500 0.500 0.000

Below is Tb2Ga3Fe14C2 at its PBEsol-relaxed geometry, with properties calculated at the SCAN level.

Results
- Energy of formation: -0.14 eV per atom
- Space group: No. 12

Unit cell a=6.370 b=6.370 c=6.401 alpha=96.64 beta=96.64 gamma=82.62
Positions (direct):
Tb 0.152 0.152 0.336
Tb 0.848 0.848 0.664
Ga 0.000 0.500 0.000
Ga 0.500 0.000 0.000
Ga 0.500 0.500 0.500
Fe 0.150 0.653 0.346
Fe 0.154 0.154 0.845
Fe 0.204 0.796 0.000
Fe 0.216 0.502 0.716
Fe 0.347 0.850 0.654
Fe 0.409 0.409 0.095
Fe 0.498 0.784 0.284
Fe 0.502 0.216 0.716
Fe 0.591 0.591 0.905
Fe 0.653 0.150 0.346
Fe 0.784 0.498 0.284
Fe 0.796 0.204 0.000
Fe 0.846 0.846 0.155
Fe 0.850 0.347 0.654
C 0.000 0.500 0.500
C 0.500 0.000 0.500

Below is LiBe4 at its PBEsol-relaxed geometry, with properties calculated at the SCAN level.

Results
- Energy of formation: 0.43 eV per atom
- Space group: No. 139

Unit cell a=4.469 b=4.469 c=4.469 alpha=128.66 beta=128.66 gamma=75.55
Positions (direct):
Li 0.000 0.000 0.000
Be 0.250 0.750 0.500
Be 0.352 0.352 0.000
Be 0.648 0.648 0.000
Be 0.750 0.250 0.500

| no. | total magnetic moment (μB per atom) | volume (Å³ per atom) |
| --- | --- | --- |
| 1 | 0.709 | 18.40 |
| 2 | 0.304 | 17.32 |
| 3 | 0.000 | 23.78 |
| 4 | 0.000 | 23.63 |
| 5 | 0.000 | 21.85 |
| 6 | 0.000 | 18.08 |
| 7 | 0.097 | 16.98 |
| 8 | 0.186 | 21.57 |
| 9 | 0.000 | 36.13 |
| 10 | 0.472 | 25.48 |
| 11 | 1.453 | 12.12 |
| 12 | 0.000 | 10.59 |